Density functional theory data (PBE) for Mg2UB2Ru5 after structural relaxation.

a = 3.068 Å, b = 9.561 Å, c = 9.561 Å
α = 90.00°, β = 90.00°, γ = 90.00°
Atoms (fractional coordinates):
1 Mg 0.000 0.672 0.172
2 Mg 0.000 0.328 0.828
3 Mg 0.000 0.172 0.328
4 Mg 0.000 0.828 0.672
5 U 0.000 0.000 0.000
6 U 0.000 0.500 0.500
7 B 0.000 0.118 0.618
8 B 0.000 0.882 0.382
9 B 0.000 0.618 0.882
10 B 0.000 0.382 0.118
11 Ru 0.500 0.218 0.076
12 Ru 0.500 0.782 0.924
13 Ru 0.500 0.076 0.782
14 Ru 0.500 0.718 0.424
15 Ru 0.500 0.924 0.218
16 Ru 0.500 0.282 0.576
17 Ru 0.500 0.576 0.718
18 Ru 0.500 0.424 0.282
19 Ru 0.500 0.500 0.000
20 Ru 0.500 0.000 0.500

VASP energy in hartree per atom: -0.281
Symmetry: P4/mbm